No. 1
# TlV3W

TlV3W after structural relaxation (PBE, Alexandria via LeMat-Bulk).

Geometry as POSCAR:
```
TlV3W
1.0
4.6409 0.0000 0.0000
0.0000 4.6409 0.0000
0.0000 0.0000 4.6409
Tl V W
1 3 1
Direct
0.0000 0.0000 0.0000 Tl
0.0000 0.5000 0.5000 V
0.5000 0.0000 0.5000 V
0.5000 0.5000 0.0000 V
0.5000 0.5000 0.5000 W
```

Computed properties:
offset from the most stable computed form = 0.000 eV per atom
ΔE_f = 1272 meV/atom
magnetic moment = 0.00 Bohr magnetons per cell
D(E_F) = 4.1 states/eV per cell
V = 19.992 Å³/atom
space group = Pm-3m


No. 2
# YTl2V2

YTl2V2 after structural relaxation (PBE, Alexandria via LeMat-Bulk).

Geometry as POSCAR:
```
YTl2V2
1.0
-1.9534 1.9534 7.0096
1.9534 -1.9534 7.0096
1.9534 1.9534 -7.0096
Y Tl V
1 2 2
Direct
0.0000 0.0000 0.0000 Y
0.3918 0.3918 0.0000 Tl
0.6082 0.6082 0.0000 Tl
0.2500 0.7500 0.5000 V
0.7500 0.2500 0.5000 V
```

Computed properties:
ΔE_f = 281 meV/atom
magnetic moment = 0.00 Bohr magnetons per cell
D(E_F) = 6.0 states/eV per cell
V = 21.397 Å³/atom
space group = I4/mmm


No. 3
# YTl2V

YTl2V after structural relaxation (PBE, Alexandria via LeMat-Bulk).

Geometry as POSCAR:
```
YTl2V
1.0
-2.2605 2.2605 10.6041
2.2605 -2.2605 10.6041
2.2605 2.2605 -10.6041
Y Tl V
2 4 2
Direct
0.0000 0.0000 0.0000 Y
0.7500 0.2500 0.5000 Y
0.1448 0.6250 0.0198 Tl
0.3750 0.3948 0.5198 Tl
0.6052 0.1250 0.9802 Tl
0.8750 0.8552 0.4802 Tl
0.2500 0.7500 0.5000 V
0.5000 0.5000 0.0000 V
```

Computed properties:
ΔE_f = 456 meV/atom
magnetic moment = 6.95 Bohr magnetons per cell
D(E_F) = 9.0 states/eV per cell
V = 27.094 Å³/atom
space group = I-42d


No. 4
# Y2TlV

Y2TlV after structural relaxation (PBE, Alexandria via LeMat-Bulk).

Geometry as POSCAR:
```
Y2TlV
1.0
-4.1044 4.1044 3.1564
4.1044 -4.1044 3.1564
4.1044 4.1044 -3.1564
Y Tl V
4 2 2
Direct
0.1051 0.6250 0.9801 Y
0.3750 0.3551 0.4801 Y
0.6449 0.1250 0.0199 Y
0.8750 0.8949 0.5199 Y
0.2500 0.7500 0.5000 Tl
0.5000 0.5000 0.0000 Tl
0.0000 0.0000 0.0000 V
0.7500 0.2500 0.5000 V
```

Computed properties:
offset from the most stable computed form = 0.438 eV per atom
ΔE_f = 461 meV/atom
magnetic moment = 5.13 Bohr magnetons per cell
D(E_F) = 10.6 states/eV per cell
V = 26.586 Å³/atom
space group = I-42d


No. 5
# Y2Tl2V

Y2Tl2V after structural relaxation (PBE, Alexandria via LeMat-Bulk).

Geometry as POSCAR:
```
Y2Tl2V
1.0
7.7695 0.0000 0.0000
0.0000 7.7695 0.0000
0.0000 0.0000 4.3445
Y Tl V
4 4 2
Direct
0.1695 0.3305 0.0000 Y
0.3305 0.8305 0.0000 Y
0.6695 0.1695 0.0000 Y
0.8305 0.6695 0.0000 Y
0.1380 0.6380 0.5000 Tl
0.3620 0.1380 0.5000 Tl
0.6380 0.8620 0.5000 Tl
0.8620 0.3620 0.5000 Tl
0.0000 0.0000 0.5000 V
0.5000 0.5000 0.5000 V
```

Computed properties:
ΔE_f = -10 meV/atom
magnetic moment = 6.82 Bohr magnetons per cell
D(E_F) = 9.3 states/eV per cell
V = 26.226 Å³/atom
space group = P4/mbm


No. 6
# YTl3V

YTl3V after structural relaxation (PBE, Alexandria via LeMat-Bulk).

Geometry as POSCAR:
```
YTl3V
1.0
5.1931 0.0000 0.0000
0.0000 5.1931 0.0000
0.0000 0.0000 5.1931
Y Tl V
1 3 1
Direct
0.0000 0.0000 0.0000 Y
0.0000 0.5000 0.5000 Tl
0.5000 0.0000 0.5000 Tl
0.5000 0.5000 0.0000 Tl
0.5000 0.5000 0.5000 V
```

Computed properties:
offset from the most stable computed form = 0.000 eV per atom
ΔE_f = 376 meV/atom
magnetic moment = 0.01 Bohr magnetons per cell
D(E_F) = 3.1 states/eV per cell
V = 28.009 Å³/atom
space group = Pm-3m


No. 7
# Y3TlV

Y3TlV after structural relaxation (PBE, Alexandria via LeMat-Bulk).

Geometry as POSCAR:
```
Y3TlV
1.0
5.2724 0.0000 0.0000
0.0000 5.2724 0.0000
0.0000 0.0000 5.2724
Y Tl V
3 1 1
Direct
0.0000 0.0000 0.5000 Y
0.0000 0.5000 0.0000 Y
0.5000 0.0000 0.0000 Y
0.5000 0.5000 0.5000 Tl
0.0000 0.0000 0.0000 V
```

Computed properties:
offset from the most stable computed form = 0.000 eV per atom
ΔE_f = 394 meV/atom
magnetic moment = 0.53 Bohr magnetons per cell
D(E_F) = 5.2 states/eV per cell
V = 29.313 Å³/atom
space group = Pm-3m


No. 8
# Y2TlV

Y2TlV after structural relaxation (PBE, Alexandria via LeMat-Bulk).

Geometry as POSCAR:
```
Y2TlV
1.0
0.0000 3.7044 3.7044
3.7044 0.0000 3.7044
3.7044 3.7044 0.0000
Y Tl V
2 1 1
Direct
0.2500 0.2500 0.2500 Y
0.7500 0.7500 0.7500 Y
0.0000 0.0000 0.0000 Tl
0.5000 0.5000 0.5000 V
```

Computed properties:
offset from the most stable computed form = 0.000 eV per atom
ΔE_f = 22 meV/atom
magnetic moment = 3.52 Bohr magnetons per cell
D(E_F) = 2.5 states/eV per cell
V = 25.417 Å³/atom
space group = Fm-3m